(1)
KSI2: optimized geometry, PBE. Values from VASP.

Geometry as Quantum ESPRESSO input:
```
&SYSTEM
  ibrav = 0, nat = 4, ntyp = 3
/
ATOMIC_SPECIES
I 126.90 I.upf
K 39.10 K.upf
S 32.06 S.upf
CELL_PARAMETERS angstrom
-3.585 0.520 4.532
-0.320 -4.239 3.948
4.557 2.260 7.059
ATOMIC_POSITIONS crystal
I 0.109 0.109 0.673
I 0.891 0.891 0.327
K 0.500 0.500 0.500
S 0.000 0.000 0.000
```

Computed properties:
DOS at the Fermi energy: 5.66 states/eV/f.u.
E_form (uncorrected): -0.330 eV/atom
Energy above the lowest structure with this stoichiometry: 0.00 eV/f.u.
SG: R-3m
M_tot: 1.01 μB/cell

(2)
Na8PSe2: optimized geometry, PBE. Values from VASP.

Geometry as Quantum ESPRESSO input:
```
&SYSTEM
  ibrav = 0, nat = 11, ntyp = 3
/
ATOMIC_SPECIES
Na 22.99 Na.upf
P 30.97 P.upf
Se 78.96 Se.upf
CELL_PARAMETERS angstrom
4.695 0.000 -1.429
-1.038 6.003 -3.409
0.166 1.065 8.972
ATOMIC_POSITIONS crystal
Na 0.636 0.867 0.272
Na 0.364 0.595 0.728
Na 0.189 0.189 0.378
Na 0.000 0.247 0.000
Na 0.811 0.811 0.622
Na 0.636 0.405 0.272
Na 0.364 0.133 0.728
Na 0.000 0.753 0.000
P 0.500 0.000 0.000
Se 0.194 0.694 0.389
Se 0.806 0.306 0.611
```

Computed properties:
DOS at the Fermi energy: 2.29 states/eV/f.u.
E_form (uncorrected): -0.587 eV/atom
SG: Immm
M_tot: 0.10 μB/cell

(3)
Tl2Cu2P: optimized geometry, PBE. Values from VASP.

Geometry as Quantum ESPRESSO input:
```
&SYSTEM
  ibrav = 0, nat = 10, ntyp = 3
/
ATOMIC_SPECIES
P 30.97 P.upf
Tl 204.38 Tl.upf
Cu 63.55 Cu.upf
CELL_PARAMETERS angstrom
-4.105 4.435 1.658
1.029 -1.306 6.042
4.329 3.962 0.119
ATOMIC_POSITIONS crystal
P 0.000 0.000 0.000
P 0.500 0.500 0.000
Tl 0.190 0.690 0.500
Tl 0.690 0.810 0.500
Tl 0.810 0.310 0.500
Tl 0.310 0.190 0.500
Cu 0.259 0.759 0.000
Cu 0.759 0.741 0.000
Cu 0.741 0.241 0.000
Cu 0.241 0.259 0.000
```

Computed properties:
DOS at the Fermi energy: 1.36 states/eV/f.u.
SG: P4/mbm
M_tot: 0.00 μB/cell
DFT formation energy: 157 meV per atom

(4)
LiBeAu2: optimized geometry, PBE. Values from VASP.

Geometry as Quantum ESPRESSO input:
```
&SYSTEM
  ibrav = 0, nat = 4, ntyp = 3
/
ATOMIC_SPECIES
Au 196.97 Au.upf
Be 9.01 Be.upf
Li 6.94 Li.upf
CELL_PARAMETERS angstrom
3.215 0.000 0.000
0.000 3.215 0.000
0.000 0.000 5.565
ATOMIC_POSITIONS crystal
Au 0.000 0.000 0.950
Au 0.500 0.500 0.306
Be 0.000 0.000 0.491
Li 0.500 0.500 0.752
```

Computed properties:
DOS at the Fermi energy: 0.78 states/eV/f.u.
SG: P4mm
M_tot: 0.00 μB/cell
DFT formation energy: -215 meV per atom

(5)
CdSiMoBr: optimized geometry, PBE. Values from VASP.

Geometry as Quantum ESPRESSO input:
```
&SYSTEM
  ibrav = 0, nat = 8, ntyp = 4
/
ATOMIC_SPECIES
Cd 112.41 Cd.upf
Si 28.09 Si.upf
Mo 95.94 Mo.upf
Br 79.90 Br.upf
CELL_PARAMETERS angstrom
-0.174 -3.249 -1.713
-1.517 -1.297 2.616
-12.852 3.662 -5.638
ATOMIC_POSITIONS crystal
Cd 0.000 0.500 0.888
Cd 0.500 0.000 0.388
Si 0.000 0.000 0.221
Si 0.500 0.500 0.721
Mo 0.000 0.000 0.721
Mo 0.500 0.500 0.221
Br 0.000 0.000 0.534
Br 0.500 0.500 0.034
```

Computed properties:
DOS at the Fermi energy: 3.62 states/eV/f.u.
E_form (uncorrected): 0.063 eV/atom
Energy above the lowest structure with this stoichiometry: 0.00 eV/f.u.
SG: Imm2
M_tot: 0.09 μB/cell

(6)
Th3InHg5: optimized geometry, PBE. Values from VASP.

Geometry as Quantum ESPRESSO input:
```
&SYSTEM
  ibrav = 0, nat = 18, ntyp = 3
/
ATOMIC_SPECIES
Th 232.04 Th.upf
In 114.82 In.upf
Hg 200.59 Hg.upf
CELL_PARAMETERS angstrom
8.766 0.000 0.000
0.000 8.766 0.000
-4.383 -4.383 6.518
ATOMIC_POSITIONS crystal
Th 0.622 0.122 0.000
Th 0.378 0.878 0.000
Th 0.878 0.622 0.000
Th 0.122 0.378 0.000
Th 0.250 0.250 0.500
Th 0.750 0.750 0.500
In 0.750 0.250 0.500
In 0.250 0.750 0.500
Hg 0.046 0.546 0.705
Hg 0.658 0.158 0.705
Hg 0.158 0.046 0.705
Hg 0.546 0.658 0.705
Hg 0.954 0.454 0.295
Hg 0.342 0.842 0.295
Hg 0.842 0.954 0.295
Hg 0.454 0.342 0.295
Hg 0.500 0.500 0.000
Hg 0.000 0.000 0.000
```

Computed properties:
DOS at the Fermi energy: 7.37 states/eV/f.u.
Energy above the lowest structure with this stoichiometry: 1.77 eV/f.u.
SG: I4/mcm
M_tot: 0.00 μB/cell
DFT formation energy: -48 meV per atom

(7)
Si3BW: optimized geometry, PBE. Values from VASP.

Geometry as Quantum ESPRESSO input:
```
&SYSTEM
  ibrav = 0, nat = 5, ntyp = 3
/
ATOMIC_SPECIES
Si 28.09 Si.upf
B 10.81 B.upf
W 183.84 W.upf
CELL_PARAMETERS angstrom
4.065 0.000 0.000
0.000 4.065 0.000
0.000 0.000 4.065
ATOMIC_POSITIONS crystal
Si 0.000 0.500 0.000
Si 0.000 0.000 0.500
Si 0.500 0.000 0.000
B 0.000 0.000 0.000
W 0.500 0.500 0.500
```

Computed properties:
DOS at the Fermi energy: 3.65 states/eV/f.u.
E_form (uncorrected): 1.000 eV/atom
Energy above the lowest structure with this stoichiometry: 0.00 eV/f.u.
SG: Pm-3m
M_tot: 0.00 μB/cell

(8)
CeSm2HoS4: optimized geometry, PBE. Values from VASP.

Geometry as Quantum ESPRESSO input:
```
&SYSTEM
  ibrav = 0, nat = 8, ntyp = 4
/
ATOMIC_SPECIES
Ce 140.12 Ce.upf
Sm 150.36 Sm.upf
Ho 164.93 Ho.upf
S 32.06 S.upf
CELL_PARAMETERS angstrom
3.966 0.000 0.000
0.000 6.922 0.136
0.000 -2.402 6.456
ATOMIC_POSITIONS crystal
Ce 0.500 0.500 0.000
Sm 0.500 0.000 0.500
Sm 0.000 0.500 0.500
Ho 0.000 0.000 0.000
S 0.500 0.242 0.242
S 0.500 0.758 0.758
S 0.000 0.245 0.753
S 0.000 0.755 0.247
```

Computed properties:
DOS at the Fermi energy: 7.36 states/eV/f.u.
E_form (uncorrected): -2.020 eV/atom
SG: P2/m
M_tot: 0.67 μB/cell

(9)
YBeAg2F: optimized geometry, PBE. Values from VASP.

Geometry as Quantum ESPRESSO input:
```
&SYSTEM
  ibrav = 0, nat = 5, ntyp = 4
/
ATOMIC_SPECIES
Y 88.91 Y.upf
Be 9.01 Be.upf
Ag 107.87 Ag.upf
F 19.00 F.upf
CELL_PARAMETERS angstrom
-0.530 -0.066 5.619
-5.322 -1.705 -0.522
1.713 -5.377 0.098
ATOMIC_POSITIONS crystal
Y 0.000 0.000 0.000
Be 0.000 0.500 0.000
Ag 0.000 0.000 0.500
Ag 0.500 0.000 0.000
F 0.500 0.500 0.500
```

Computed properties:
DOS at the Fermi energy: 7.28 states/eV/f.u.
E_form (uncorrected): 1.039 eV/atom
SG: P4/mmm
M_tot: 0.00 μB/cell

(10)
CrN4: optimized geometry, PBE. Values from VASP.

Geometry as Quantum ESPRESSO input:
```
&SYSTEM
  ibrav = 0, nat = 5, ntyp = 2
/
ATOMIC_SPECIES
Cr 52.00 Cr.upf
N 14.01 N.upf
CELL_PARAMETERS angstrom
-0.685 1.315 3.471
1.480 -3.140 1.482
3.404 1.630 0.055
ATOMIC_POSITIONS crystal
Cr 0.500 0.500 0.500
N 0.000 0.000 0.000
N 0.500 0.000 0.500
N 0.000 0.500 0.500
N 0.500 0.500 0.000
```

Computed properties:
DOS at the Fermi energy: 0.32 states/eV/f.u.
E_form (uncorrected): 1.971 eV/atom
SG: Pm-3m
M_tot: 0.02 μB/cell

(11)
GeF4: optimized geometry, PBE. Values from VASP.

Geometry as Quantum ESPRESSO input:
```
&SYSTEM
  ibrav = 0, nat = 5, ntyp = 2
/
ATOMIC_SPECIES
Ge 72.64 Ge.upf
F 19.00 F.upf
CELL_PARAMETERS angstrom
-3.492 2.467 2.301
-1.752 -4.277 -1.489
3.722 -0.742 3.029
ATOMIC_POSITIONS crystal
Ge 0.000 0.000 0.000
F 0.000 0.647 0.000
F 0.353 0.353 0.353
F 0.000 0.000 0.647
F 0.647 0.000 0.000
```

Computed properties:
DOS at the Fermi energy: 0.00 states/eV/f.u.
E_form (uncorrected): -2.349 eV/atom
SG: I-43m
M_tot: 0.00 μB/cell

(12)
Sb2IrRu: optimized geometry, PBE. Values from VASP.

Geometry as Quantum ESPRESSO input:
```
&SYSTEM
  ibrav = 0, nat = 4, ntyp = 3
/
ATOMIC_SPECIES
Ir 192.22 Ir.upf
Ru 101.07 Ru.upf
Sb 121.76 Sb.upf
CELL_PARAMETERS angstrom
3.513 0.000 0.000
0.000 3.895 0.000
0.000 0.000 5.452
ATOMIC_POSITIONS crystal
Ir 0.000 0.000 0.445
Ru 0.500 0.500 0.804
Sb 0.000 0.000 0.941
Sb 0.500 0.500 0.310
```

Computed properties:
DOS at the Fermi energy: 2.08 states/eV/f.u.
E_form (uncorrected): 0.028 eV/atom
Energy above the lowest structure with this stoichiometry: 0.00 eV/f.u.
SG: Pmm2
M_tot: 0.31 μB/cell

Copy entry 4 word for word.
LiBeAu2: optimized geometry, PBE. Values from VASP.

Geometry as Quantum ESPRESSO input:
```
&SYSTEM
  ibrav = 0, nat = 4, ntyp = 3
/
ATOMIC_SPECIES
Au 196.97 Au.upf
Be 9.01 Be.upf
Li 6.94 Li.upf
CELL_PARAMETERS angstrom
3.215 0.000 0.000
0.000 3.215 0.000
0.000 0.000 5.565
ATOMIC_POSITIONS crystal
Au 0.000 0.000 0.950
Au 0.500 0.500 0.306
Be 0.000 0.000 0.491
Li 0.500 0.500 0.752
```

Computed properties:
DOS at the Fermi energy: 0.78 states/eV/f.u.
SG: P4mm
M_tot: 0.00 μB/cell
DFT formation energy: -215 meV per atom